{
  "formula": "SbI4",
  "functional": "PBE-GGA",
  "state": "relaxed",
  "relative_energy_ev_per_atom": 0.000,
  "raw_formation_energy_mev_per_atom": -245.7,
  "lattice": [[-3.822, -0.245, -6.597], [-7.642, -0.861, 0.049], [-1.446, 11.612, 0.085]],
  "species": ["Sb", "Sb", "I", "I", "I", "I", "I", "I", "I", "I"],
  "fractional_positions": [[0.670, 0.660, 0.500], [0.330, 0.340, 0.500], [0.104, 0.000, 0.902], [0.648, 0.000, 0.346], [0.352, 0.000, 0.654], [0.896, 0.000, 0.098], [0.997, 0.645, 0.653], [0.642, 0.355, 0.653], [0.003, 0.355, 0.347], [0.358, 0.645, 0.347]]
}

***

{
  "formula": "LiTaF3",
  "functional": "PBE-GGA",
  "state": "relaxed",
  "relative_energy_ev_per_atom": 0.231,
  "raw_formation_energy_mev_per_atom": -1516.0,
  "dos_ef_per_ev_atom": 0.553,
  "lattice": [[3.774, 0.000, 0.000], [0.000, 3.774, 0.000], [0.000, 0.000, 3.774]],
  "species": ["F", "F", "F", "Ta", "Li"],
  "fractional_positions": [[0.000, 0.500, 0.000], [0.000, 0.000, 0.500], [0.500, 0.000, 0.000], [0.500, 0.500, 0.500], [0.000, 0.000, 0.000]]
}

***

{
  "formula": "Sr2AlHg2",
  "functional": "PBE-GGA",
  "state": "relaxed",
  "relative_energy_ev_per_atom": 0.000,
  "dos_ef_per_ev_atom": 0.633,
  "formation_enthalpy_0k_ev_per_atom": -0.417,
  "lattice": [[4.734, 0.000, 0.000], [2.367, 6.014, -0.156], [2.367, 0.642, 10.528]],
  "species": ["Sr", "Sr", "Sr", "Sr", "Al", "Al", "Hg", "Hg", "Hg", "Hg"],
  "fractional_positions": [[0.309, 0.271, 0.110], [0.506, 0.328, 0.660], [0.691, 0.729, 0.890], [0.494, 0.672, 0.340], [0.779, 0.088, 0.355], [0.221, 0.912, 0.645], [0.985, 0.154, 0.876], [0.154, 0.258, 0.434], [0.015, 0.846, 0.124], [0.846, 0.742, 0.566]]
}